A plane-wave DFT calculation with GGA-PBEsol was carried out for a relaxed Tl3As crystal.

Values from the calculation:
**VASP energy**: -12.6 eV per formula unit
**D(E_F)**: 1.78 states/eV per cell
**Space group**: P4/mmm (123)
**Magnetic moment**: 0.00 μB per cell
**ΔE_f**: 95 meV/atom

POSCAR file:
```
Tl3As
1.0
-0.8989 2.2325 3.7656
-2.7352 -3.6765 1.5267
3.8605 -1.9976 2.1059
Tl As
3 1
Cartesian
-1.8171 -0.7220 2.6461
0.5627 -2.8370 1.8163
1.4808 0.1174 2.9357
0.0000 0.0000 0.0000
```